Entry 1:
First-principles (PBE) data for a relaxed structure of KCo2HgSb, as listed in Alexandria via LeMat-Bulk.

Cell lengths 4.823, 4.823, 5.580 Å; angles 90.00, 90.00, 90.00 degrees
Space group P4/mmm (No. 123)
Inequivalent atoms, fractional coordinates:
K  0.000  0.000  0.000 (multiplicity 1)
Co  0.000  0.500  0.000 (multiplicity 2)
Hg  0.000  0.000  0.500 (multiplicity 1)
Sb  0.500  0.500  0.500 (multiplicity 1)

Computed properties:
Crystal system: tetragonal
Energy relative to the elements, uncorrected, eV/atom: 1.855
Electronic total energy, eV per atom: -2.0913

Entry 2:
First-principles (PBE) data for a relaxed structure of SrNiH8Pt2, as listed in Alexandria via LeMat-Bulk.

Cell lengths 4.7517, 4.7517, 17.5033 Å; angles 90.00, 90.00, 120.00 degrees
Space group R-3 (No. 148, hexagonal axes)
Inequivalent atoms, fractional coordinates:
Sr  0.0000  0.0000  0.0000 (multiplicity 3)
Ni  0.0000  0.0000  0.5000 (multiplicity 3)
H  0.0000  0.0000  0.3087 (multiplicity 6)
H  0.0079  0.7131  0.5532 (multiplicity 18)
Pt  0.0000  0.0000  0.2158 (multiplicity 6)

Computed properties:
Crystal system: trigonal
Electronic total energy, eV per atom: -4.0355